[1]
# ScSbTe2Ru | the Alexandria database | PBE | optimized geometry
data_ScSbTe2Ru
_chemical_formula_sum 'Sc1 Sb1 Te2 Ru1'
_space_group_name_H-M_alt 'P 4/m m m'
_space_group_IT_number 123
_space_group_name_Hall '-P 4 2'
_cell_length_a 5.431
_cell_length_b 5.431
_cell_length_c 5.453
_cell_angle_alpha 90.00
_cell_angle_beta 90.00
_cell_angle_gamma 90.00
loop_
_atom_site_label
_atom_site_type_symbol
_atom_site_fract_x
_atom_site_fract_y
_atom_site_fract_z
Sc1 Sc 0.000 0.000 0.000
Sb1 Sb 0.000 0.000 0.500
Te1 Te 0.000 0.500 0.000
Ru1 Ru 0.500 0.500 0.500
# - Raw total energy: -0.163 hartree per atom
# - E_form (uncorrected): 3.86 eV per formula unit
# - E above lowest polymorph: 539 meV per atom
# - DOS(E_F): 5.648 states/eV per cell

=====

[2]
# SbRu2Se | the Alexandria database | PBE | optimized geometry
data_SbRu2Se
_chemical_formula_sum 'Sb4 Ru8 Se4'
_space_group_name_H-M_alt 'F -4 3 m'
_space_group_IT_number 216
_space_group_name_Hall 'F -4 2 3'
_cell_length_a 6.521
_cell_length_b 6.521
_cell_length_c 6.521
_cell_angle_alpha 90.00
_cell_angle_beta 90.00
_cell_angle_gamma 90.00
loop_
_atom_site_label
_atom_site_type_symbol
_atom_site_fract_x
_atom_site_fract_y
_atom_site_fract_z
Sb1 Sb 0.000 0.000 0.000
Ru1 Ru 0.000 0.000 0.500
Ru2 Ru 0.250 0.250 0.250
Se1 Se 0.250 0.250 0.750
# - Raw total energy: -0.215 hartree per atom
# - E_form (uncorrected): 2.75 eV per formula unit
# - E above lowest polymorph: 656 meV per atom
# - DOS(E_F): 22.912 states/eV per cell

=====

[3]
# SbRu2Se | the Alexandria database | PBE | optimized geometry
data_SbRu2Se
_chemical_formula_sum 'Sb2 Ru4 Se2'
_space_group_name_H-M_alt 'C 1 m 1'
_space_group_IT_number 8
_cell_length_a 9.280
_cell_length_b 3.201
_cell_length_c 4.735
_cell_angle_alpha 90.00
_cell_angle_beta 102.22
_cell_angle_gamma 90.00
loop_
_space_group_symop_operation_xyz
'x,y,z'
'x,-y,z'
'x+1/2,y+1/2,z'
'x+1/2,-y+1/2,z'
loop_
_atom_site_label
_atom_site_type_symbol
_atom_site_fract_x
_atom_site_fract_y
_atom_site_fract_z
Sb1 Sb 0.000 0.000 0.000
Ru1 Ru 0.259 0.000 0.835
Ru2 Ru 0.490 0.000 0.479
Se1 Se 0.258 0.500 0.431
# - Raw total energy: -0.236 hartree per atom
# - E_form (uncorrected): 0.43 eV per formula unit
# - E above lowest polymorph: 77 meV per atom
# - DOS(E_F): 7.508 states/eV per cell